Entry 1:
Ga2SnHg | GGA-PBE | relaxed

Results
formation energy = 0.087 eV/atom
DFT total energy = -10.01 eV per cell

a = 4.185 Å, b = 4.682 Å, c = 4.682 Å
α = 90.00°, β = 90.00°, γ = 90.00°
Sites, in units of the cell vectors:
Hg (0.500, 0.500, 0.500)
Ga (0.000, 0.500, 0.000)
Ga (0.000, 0.000, 0.500)
Sn (0.500, 0.000, 0.000)

***

Entry 2:
CaLa2Nd5 | GGA-PBE | relaxed

Results
formation energy = 0.054 eV/atom
DFT total energy = -35.26 eV per cell

a = 3.701 Å, b = 11.629 Å, c = 9.169 Å
α = 129.36°, β = 101.64°, γ = 90.00°
Sites, in units of the cell vectors:
Nd (0.632, 0.402, 0.264)
Nd (0.368, 0.598, 0.736)
Nd (0.000, 0.500, 0.000)
Nd (0.632, 0.862, 0.264)
Nd (0.368, 0.138, 0.736)
La (0.256, 0.756, 0.512)
La (0.744, 0.244, 0.488)
Ca (0.000, 0.000, 0.000)

***

Entry 3:
MgNiI2 | GGA-PBE | relaxed

Results
DFT total energy = -9.46 eV per cell
raw formation energy = 0.25 eV per atom

a = 5.167 Å, b = 5.167 Å, c = 5.167 Å
α = 60.00°, β = 60.00°, γ = 60.00°
Sites, in units of the cell vectors:
Ni (0.500, 0.500, 0.500)
I (0.250, 0.250, 0.250)
I (0.750, 0.750, 0.750)
Mg (0.000, 0.000, 0.000)

***

Entry 4:
Nd4MgZnHg2 | GGA-PBE | relaxed

Results
formation energy = -0.332 eV/atom
DFT total energy = -25.20 eV per cell

a = 5.394 Å, b = 5.394 Å, c = 9.326 Å
α = 73.19°, β = 73.19°, γ = 60.00°
Sites, in units of the cell vectors:
Mg (0.000, 0.000, 0.000)
Nd (0.869, 0.869, 0.393)
Nd (0.618, 0.618, 0.146)
Nd (0.382, 0.382, 0.854)
Nd (0.131, 0.131, 0.607)
Hg (0.741, 0.741, 0.776)
Hg (0.259, 0.259, 0.224)
Zn (0.500, 0.500, 0.500)

***

Entry 5:
KY | GGA-PBE | relaxed

Results
formation energy = 1.033 eV/atom
DFT total energy = -21.98 eV per cell

a = 7.220 Å, b = 7.220 Å, c = 7.351 Å
α = 90.00°, β = 90.00°, γ = 90.00°
Sites, in units of the cell vectors:
Y (0.339, 0.339, 0.000)
Y (0.839, 0.161, 0.500)
Y (0.661, 0.661, 0.000)
Y (0.161, 0.839, 0.500)
K (0.829, 0.171, 0.000)
K (0.671, 0.671, 0.500)
K (0.171, 0.829, 0.000)
K (0.329, 0.329, 0.500)

***

Entry 6:
CuHgMo2 | GGA-PBE | relaxed

Results
formation energy = 0.324 eV/atom
DFT total energy = -24.76 eV per cell

a = 2.772 Å, b = 2.772 Å, c = 8.990 Å
α = 90.00°, β = 90.00°, γ = 107.69°
Sites, in units of the cell vectors:
Cu (0.000, 0.000, 0.485)
Mo (0.500, 0.500, 0.256)
Mo (0.000, 0.000, 0.019)
Hg (0.500, 0.500, 0.739)

***

Entry 7:
Pm5Dy12Sc2 | GGA-PBE | relaxed

Results
formation energy = 0.175 eV/atom
DFT total energy = -88.32 eV per cell

a = 7.229 Å, b = 9.973 Å, c = 9.903 Å
α = 68.53°, β = 90.00°, γ = 111.25°
Sites, in units of the cell vectors:
Pm (0.185, 0.371, 0.812)
Pm (0.680, 0.360, 0.797)
Pm (0.815, 0.629, 0.188)
Pm (0.000, 0.000, 0.500)
Pm (0.320, 0.640, 0.203)
Sc (0.303, 0.000, 0.000)
Sc (0.697, 0.000, 0.000)
Dy (0.503, 0.006, 0.686)
Dy (0.091, 0.684, 0.861)
Dy (0.497, 0.994, 0.314)
Dy (0.085, 0.676, 0.505)
Dy (0.407, 0.316, 0.139)
Dy (0.409, 0.324, 0.495)
Dy (0.013, 0.026, 0.786)
Dy (0.591, 0.676, 0.505)
Dy (0.915, 0.324, 0.495)
Dy (0.593, 0.684, 0.861)
Dy (0.987, 0.974, 0.214)
Dy (0.909, 0.316, 0.139)

***

Entry 8:
MgOs | GGA-PBE | relaxed

Results
formation energy = 1.904 eV/atom
DFT total energy = -18.03 eV per cell

a = 4.454 Å, b = 4.454 Å, c = 5.064 Å
α = 90.00°, β = 90.00°, γ = 120.00°
Sites, in units of the cell vectors:
Mg (0.333, 0.667, 0.250)
Mg (0.667, 0.333, 0.750)
Os (0.667, 0.333, 0.250)
Os (0.333, 0.667, 0.750)

***

Entry 9:
CuAs2Br | GGA-PBE | relaxed

Results
DFT total energy = -14.67 eV per cell
raw formation energy = 0.10 eV per atom

a = 6.839 Å, b = 6.839 Å, c = 6.839 Å
α = 148.59°, β = 148.52°, γ = 45.07°
Sites, in units of the cell vectors:
As (0.767, 0.267, 0.500)
As (0.906, 0.906, 0.000)
Br (0.564, 0.564, 0.000)
Cu (0.263, 0.763, 0.500)

***

Entry 10:
HoPt2 | GGA-PBE | relaxed

Results
formation energy = -1.124 eV/atom
DFT total energy = -40.06 eV per cell

a = 5.427 Å, b = 5.427 Å, c = 5.427 Å
α = 60.00°, β = 60.00°, γ = 60.00°
Sites, in units of the cell vectors:
Ho (0.750, 0.750, 0.750)
Ho (0.500, 0.500, 0.500)
Pt (0.125, 0.125, 0.125)
Pt (0.625, 0.125, 0.125)
Pt (0.125, 0.125, 0.625)
Pt (0.125, 0.625, 0.125)

***

Entry 11:
Sr2NbC | GGA-PBE | relaxed

Results
formation energy = 0.574 eV/atom
DFT total energy = -40.72 eV per cell

a = 10.866 Å, b = 10.866 Å, c = 7.964 Å
α = 46.99°, β = 46.99°, γ = 90.00°
Sites, in units of the cell vectors:
C (0.250, 0.750, 0.500)
C (0.500, 0.500, 0.000)
Sr (0.448, 0.125, 0.250)
Sr (0.875, 0.698, 0.750)
Sr (0.375, 0.552, 0.750)
Sr (0.302, 0.625, 0.250)
Nb (0.750, 0.250, 0.500)
Nb (0.000, 0.000, 0.000)

***

Entry 12:
ZrRh2W | GGA-PBE | relaxed

Results
formation energy = -0.355 eV/atom
DFT total energy = -37.62 eV per cell

a = 2.897 Å, b = 2.897 Å, c = 7.770 Å
α = 90.00°, β = 90.00°, γ = 90.00°
Sites, in units of the cell vectors:
Zr (0.500, 0.500, 0.750)
Rh (0.000, 0.000, 0.481)
Rh (0.000, 0.000, 0.019)
W (0.500, 0.500, 0.250)